A plane-wave DFT calculation with PBE-GGA was carried out for crystalline Ca2In3Hg8 at its relaxed geometry.

Cell: 8.263 8.263 6.382 Å, 98.44 98.44 57.52°
Element x y z (fractional)
Ca  0.202  0.202  0.269
Ca  0.798  0.798  0.731
In  0.000  0.000  0.500
In  0.194  0.806  0.000
In  0.806  0.194  0.000
Hg  0.200  0.569  0.535
Hg  0.202  0.202  0.782
Hg  0.389  0.389  0.077
Hg  0.431  0.800  0.465
Hg  0.569  0.200  0.535
Hg  0.611  0.611  0.923
Hg  0.798  0.798  0.218
Hg  0.800  0.431  0.465

Computed properties:
volume	362.5	Å³ per cell
space-group type	C2/m
ΔE to the lowest computed polymorph	30.0	meV per atom
ΔH_f (0 K)	-0.157	eV per atom
N(E_F)	6.4	states/eV/cell


A plane-wave DFT calculation with PBE-GGA was carried out for crystalline CaIn12Hg6 at its relaxed geometry.

Cell: 8.601 8.601 8.601 Å, 67.19 67.19 67.19°
Element x y z (fractional)
Ca  0.000  0.000  0.000
In  0.095  0.742  0.742
In  0.177  0.510  0.510
In  0.258  0.258  0.905
In  0.258  0.905  0.258
In  0.490  0.490  0.823
In  0.490  0.823  0.490
In  0.510  0.177  0.510
In  0.510  0.510  0.177
In  0.742  0.095  0.742
In  0.742  0.742  0.095
In  0.823  0.490  0.490
In  0.905  0.258  0.258
Hg  0.135  0.135  0.554
Hg  0.135  0.554  0.135
Hg  0.446  0.865  0.865
Hg  0.554  0.135  0.135
Hg  0.865  0.446  0.865
Hg  0.865  0.865  0.446

Computed properties:
volume	519.2	Å³ per cell
space-group type	R-3m
ΔH_f (0 K)	-0.035	eV per atom
N(E_F)	5.6	states/eV/cell


A plane-wave DFT calculation with PBE-GGA was carried out for crystalline CaIn4Hg8 at its relaxed geometry.

Cell: 7.316 7.316 8.859 Å, 90.00 90.00 120.00°
Element x y z (fractional)
Ca  0.000  0.000  0.000
In  0.333  0.667  0.327
In  0.333  0.667  0.673
In  0.667  0.333  0.327
In  0.667  0.333  0.673
Hg  0.000  0.233  0.675
Hg  0.000  0.767  0.325
Hg  0.233  0.000  0.675
Hg  0.233  0.233  0.325
Hg  0.333  0.667  0.000
Hg  0.667  0.333  0.000
Hg  0.767  0.000  0.325
Hg  0.767  0.767  0.675

Computed properties:
volume	410.6	Å³ per cell
space-group type	P-31m
ΔE to the lowest computed polymorph	16.9	meV per atom
ΔH_f (0 K)	0.041	eV per atom
N(E_F)	8.4	states/eV/cell